1.
Density functional theory data (PBE) for Rb3H6Au after structural relaxation.

abc: 5.462 8.471 8.471
angles: 82.53 90.00 90.00
Positions (direct):
Rb: 0.579 0.918 0.663
Rb: 0.079 0.663 0.918
Rb: 0.256 0.406 0.594
Rb: 0.756 0.594 0.406
Rb: 0.079 0.082 0.337
Rb: 0.579 0.337 0.082
H: 0.088 0.768 0.563
H: 0.588 0.563 0.768
H: 0.080 0.258 0.002
H: 0.580 0.002 0.258
H: 0.310 0.028 0.972
H: 0.852 0.224 0.776
H: 0.352 0.776 0.224
H: 0.810 0.972 0.028
H: 0.080 0.998 0.742
H: 0.580 0.742 0.998
H: 0.088 0.437 0.232
H: 0.588 0.232 0.437
Au: 0.074 0.123 0.877
Au: 0.574 0.877 0.123

- Spin magnetization: 0.0 μB per formula unit
- D(E_F): 0.0 states/eV per cell
- Crystal system: orthorhombic
- E: -2.7288 eV/atom
- ρ: 3.9 Mg/m³

=====

2.
Density functional theory data (PBE) for TaNiAs2 after structural relaxation.

abc: 4.488 4.488 4.488
angles: 60.00 60.00 60.00
Positions (direct):
As: 0.000 0.000 0.000
As: 0.250 0.250 0.250
Ni: 0.500 0.500 0.500
Ta: 0.750 0.750 0.750

- Spin magnetization: 0.0 μB per formula unit
- D(E_F): 4.6 states/eV per cell
- Crystal system: cubic
- E: -6.4469 eV/atom
- Energy relative to the elements: 286 meV per atom
- ρ: 10.1 Mg/m³

=====

3.
Density functional theory data (PBE) for LaIn2Hg6 after structural relaxation.

abc: 5.018 6.469 8.555
angles: 67.78 81.82 67.89
Positions (direct):
La: 0.000 0.000 0.500
In: 0.500 0.841 0.817
In: 0.500 0.159 0.183
Hg: 0.177 0.837 0.162
Hg: 0.823 0.500 0.162
Hg: 0.823 0.163 0.838
Hg: 0.177 0.500 0.838
Hg: 0.317 0.361 0.500
Hg: 0.683 0.639 0.500

- Spin magnetization: 0.0 μB per formula unit
- D(E_F): 4.5 states/eV per cell
- Crystal system: monoclinic
- E: -1.5388 eV/atom
- Energy relative to the elements: -182 meV per atom
- Energy relative to the lowest polymorph listed for this composition: 0 meV/atom
- ρ: 11.0 Mg/m³

=====

4.
Density functional theory data (PBE) for MoC2 after structural relaxation.

abc: 4.312 4.312 4.312
angles: 60.00 60.00 60.00
Positions (direct):
Mo: 0.500 0.500 0.500
Mo: 0.750 0.750 0.750
C: 0.625 0.125 0.125
C: 0.125 0.625 0.125
C: 0.125 0.125 0.625
C: 0.125 0.125 0.125

- Spin magnetization: 0.0 μB per formula unit
- D(E_F): 4.7 states/eV per cell
- Crystal system: cubic
- E: -7.2594 eV/atom
- Energy relative to the elements: 2500 meV per atom
- Energy relative to the lowest polymorph listed for this composition: 1981 meV/atom
- ρ: 7.0 Mg/m³

=====

5.
Density functional theory data (PBE) for Li2CeDyCl8 after structural relaxation.

abc: 6.348 6.307 8.181
angles: 90.00 90.00 93.50
Positions (direct):
Li: 0.500 0.500 0.759
Li: 0.500 0.500 0.241
Ce: 0.000 0.000 0.500
Dy: 0.000 0.000 0.000
Cl: 0.192 0.798 0.239
Cl: 0.693 0.701 0.000
Cl: 0.808 0.202 0.239
Cl: 0.808 0.202 0.761
Cl: 0.307 0.299 0.000
Cl: 0.192 0.798 0.761
Cl: 0.683 0.693 0.500
Cl: 0.317 0.307 0.500

- Formation energy from raw total energies: -198.6 kJ/mol of atoms
- Spin magnetization: 1.0 μB per formula unit
- D(E_F): 8.5 states/eV per cell
- Crystal system: monoclinic
- E: -4.4867 eV/atom
- ρ: 3.0 Mg/m³

=====

6.
Density functional theory data (PBE) for DyTlHg after structural relaxation.

abc: 3.726 4.930 4.930
angles: 120.00 90.00 90.00
Positions (direct):
Tl: 0.060 0.000 0.000
Hg: 0.285 0.333 0.667
Dy: 0.654 0.667 0.333

- Spin magnetization: 0.0 μB per formula unit
- D(E_F): 1.4 states/eV per cell
- Crystal system: trigonal
- E: -2.7114 eV/atom
- Energy relative to the elements: -288 meV per atom
- ρ: 12.0 Mg/m³

=====

7.
Density functional theory data (PBE) for SiB2Pd6 after structural relaxation.

abc: 4.001 5.849 6.486
angles: 74.25 72.03 70.00
Positions (direct):
Si: 0.000 0.500 0.500
B: 0.176 0.750 0.899
B: 0.824 0.250 0.101
Pd: 0.752 0.626 0.871
Pd: 0.248 0.374 0.129
Pd: 0.967 0.859 0.207
Pd: 0.350 0.750 0.550
Pd: 0.033 0.141 0.793
Pd: 0.650 0.250 0.450

- Formation energy from raw total energies: -25.2 kJ/mol of atoms
- Spin magnetization: 0.0 μB per formula unit
- D(E_F): 2.2 states/eV per cell
- Crystal system: monoclinic
- E: -5.8093 eV/atom
- ρ: 8.6 Mg/m³

=====

8.
Density functional theory data (PBE) for Tl2Sb2Te after structural relaxation.

abc: 8.068 8.068 5.074
angles: 90.00 90.00 90.00
Positions (direct):
Sb: 0.369 0.869 0.000
Sb: 0.869 0.631 0.000
Sb: 0.631 0.131 0.000
Sb: 0.131 0.369 0.000
Tl: 0.179 0.679 0.500
Tl: 0.679 0.821 0.500
Tl: 0.821 0.321 0.500
Tl: 0.321 0.179 0.500
Te: 0.000 0.000 0.000
Te: 0.500 0.500 0.000

- Formation energy from raw total energies: 3.5 kJ/mol of atoms
- Spin magnetization: 0.0 μB per formula unit
- D(E_F): 3.7 states/eV per cell
- Crystal system: tetragonal
- E: -3.1872 eV/atom
- Energy relative to the lowest polymorph listed for this composition: 26 meV/atom
- ρ: 7.8 Mg/m³